Model a:
Material: Cs2TeS4
Method: DFT, PBE
State: relaxed

Lattice parameters (Å, degrees): 7.6592 7.2870 10.7426 90.00 105.09 90.00
Closest atoms and distances in Å follow each position.
Fractional positions:
Cs  0.2168  0.2500  0.4468  7 S 3.60-3.89
Cs  0.2813  0.2500  0.9666  9 S 3.68-3.98
Cs  0.7187  0.7500  0.0334  9 S 3.68-3.98
Cs  0.7832  0.7500  0.5532  7 S 3.60-3.89
Te  0.3107  0.7500  0.2229  4 S 2.31-2.32
Te  0.6893  0.2500  0.7771  4 S 2.31-2.32
S  0.0867  0.7500  0.3326  1 Te 2.32
S  0.1898  0.7500  0.0023  1 Te 2.31
S  0.4942  0.0065  0.2775  1 Te 2.32
S  0.4942  0.4935  0.2775  1 Te 2.32
S  0.5058  0.5065  0.7225  1 Te 2.32
S  0.5058  0.9935  0.7225  1 Te 2.32
S  0.8102  0.2500  0.9977  1 Te 2.31
S  0.9133  0.2500  0.6674  1 Te 2.32

Summary:
- space group = P2_1/m
- volume (Å³ per atom) = 41.350

Model b:
Material: Cs2TeS4
Method: DFT, PBE
State: relaxed

Lattice parameters (Å, degrees): 9.4403 9.4403 9.4403 147.67 147.67 46.37
Closest atoms and distances in Å follow each position.
Fractional positions:
Cs  0.1450  0.1450  0.0000  9 S 3.64-3.72
Cs  0.8550  0.8550  0.0000  9 S 3.64-3.72
Te  0.5000  0.5000  0.0000  6 S 2.49-2.63
S  0.0000  0.5000  0.5000  2 Te 2.63
S  0.3567  0.3567  0.0000  1 Te 2.49
S  0.5000  0.0000  0.5000  2 Te 2.63
S  0.6433  0.6433  0.0000  1 Te 2.49

Summary:
- space group = I4/mmm
- volume (Å³ per atom) = 34.245

The structure with the greatest stability is model a.

Model a:
Material: CsTe2S
Method: DFT, PBE
State: relaxed

Lattice parameters (Å, degrees): 9.7743 9.7743 9.7743 141.24 141.24 55.98
Closest atoms and distances in Å follow each position.
Fractional positions:
Cs  0.3750  0.6250  0.7500  8 Te 4.22, 4 S 4.59
Cs  0.6250  0.3750  0.2500  8 Te 4.22, 4 S 4.59
Te  0.0000  0.0000  0.0000  2 S 2.70
Te  0.0000  0.0000  0.5000  2 S 2.70
Te  0.0000  0.5000  0.0000  2 S 2.70
Te  0.5000  0.0000  0.5000  2 S 2.70
S  0.1250  0.8750  0.2500  4 Te 2.70
S  0.8750  0.1250  0.7500  4 Te 2.70

Summary:
- space group = I4_1/amd
- volume (Å³ per atom) = 45.400

Model b:
Material: CsTe2S
Method: DFT, PBE
State: relaxed

Lattice parameters (Å, degrees): 7.0969 7.0969 7.0969 53.94 53.94 53.94
Closest atoms and distances in Å follow each position.
Fractional positions:
Cs  0.0000  0.0000  0.0000  6 Te 3.75
Te  0.3609  0.3609  0.3609  1 S 2.52
Te  0.6391  0.6391  0.6391  1 S 2.52
S  0.5000  0.5000  0.5000  2 Te 2.52

Summary:
- space group = R-3m
- volume (Å³ per atom) = 54.242

The structure with the greatest stability is model a.

Model a:
Material: CsTe3S
Method: DFT, PBE
State: relaxed

Lattice parameters (Å, degrees): 6.5203 6.5203 6.5203 90.00 90.00 90.00
Closest atoms and distances in Å follow each position.
Fractional positions:
Cs  0.0000  0.0000  0.0000  6 Te 3.26
Te  0.0000  0.0000  0.5000  2 Cs 3.26
Te  0.0000  0.5000  0.0000  2 Cs 3.26
Te  0.5000  0.0000  0.0000  2 Cs 3.26
S  0.5000  0.5000  0.5000  12 Te 4.61

Summary:
- space group = Pm-3m
- volume (Å³ per atom) = 55.440

Model b:
Material: CsTe3S
Method: DFT, PBE
State: relaxed

Lattice parameters (Å, degrees): 5.5364 5.5364 5.5364 90.00 90.00 90.00
Closest atoms and distances in Å follow each position.
Fractional positions:
Cs  0.0000  0.0000  0.0000  12 Te 3.91
Te  0.0000  0.5000  0.5000  2 S 2.77
Te  0.5000  0.0000  0.5000  2 S 2.77
Te  0.5000  0.5000  0.0000  2 S 2.77
S  0.5000  0.5000  0.5000  6 Te 2.77

Summary:
- space group = Pm-3m
- volume (Å³ per atom) = 33.939

The structure with the greatest stability is model b.

Model a:
Material: CsTe2S4
Method: DFT, PBE
State: relaxed

Lattice parameters (Å, degrees): 8.1224 8.4989 9.5179 114.96 90.55 105.94
Closest atoms and distances in Å follow each position.
Fractional positions:
Cs  0.0000  0.0000  0.0000  6 S 3.55-3.72
Cs  0.0113  0.3161  0.5367  6 S 3.51-3.83
Te  0.4516  0.8481  0.7070  3 S 2.34-2.46
Te  0.5056  0.4874  0.3164  2 S 2.29-2.55
Te  0.5393  0.5343  0.8948  2 S 2.41-2.47
Te  0.9514  0.5763  0.1526  2 S 2.30-2.37
S  0.2708  0.7213  0.8471  1 Te 2.34
S  0.2971  0.6857  0.4382  2 Te 2.46-2.65
S  0.3604  0.2237  0.3309  1 Te 2.29
S  0.3623  0.3825  0.0386  2 Te 2.47-2.55
S  0.6751  0.7108  0.6671  1 Te 2.37
S  0.7755  0.4079  0.8720  2 Te 2.41-2.61
S  0.7972  0.3505  0.2284  1 Te 2.37
S  0.8306  0.8081  0.2623  1 Te 2.30

Summary:
- space group = P1
- volume (Å³ per atom) = 40.485

Model b:
Material: CsTe2S4
Method: DFT, PBE
State: relaxed

Lattice parameters (Å, degrees): 8.1273 8.7863 8.8610 92.19 106.27 112.91
Closest atoms and distances in Å follow each position.
Fractional positions:
Cs  0.0000  0.0000  0.0000  7 S 3.59-3.99
Cs  0.2181  0.5939  0.3382  6 S 3.56-3.74, 1 Te 3.95
Te  0.3799  0.5510  0.8613  3 S 2.38-2.45
Te  0.6679  0.4521  0.2245  2 S 2.51-2.55
Te  0.6701  0.0479  0.4259  3 S 2.29-2.49
Te  0.7422  0.4604  0.6970  2 S 2.31-2.48
S  0.0006  0.5960  0.9222  1 Te 2.31
S  0.3879  0.0597  0.4063  1 Te 2.29
S  0.4373  0.3074  0.8966  1 Te 2.38
S  0.5496  0.7175  0.1186  1 Te 2.38
S  0.5870  0.6819  0.7049  2 Te 2.45-2.71
S  0.7868  0.2278  0.2352  2 Te 2.49-2.51
S  0.8713  0.6216  0.5012  2 Te 2.48-2.55
S  0.8852  0.2306  0.6719  1 Te 2.41

Summary:
- space group = P1
- volume (Å³ per atom) = 39.409

The structure with the greatest stability is model b.

Model a:
Material: Cs2TlTeS
Method: DFT, PBE
State: relaxed

Lattice parameters (Å, degrees): 8.1603 5.6770 9.7771 90.00 102.29 90.00
Closest atoms and distances in Å follow each position.
Fractional positions:
Cs  0.1164  0.2500  0.3680  2 S 3.51
Cs  0.2480  0.2500  0.9736  3 S 3.43-3.56
Cs  0.7520  0.7500  0.0264  3 S 3.43-3.56
Cs  0.8836  0.7500  0.6320  2 S 3.51
Tl  0.4690  0.7500  0.3332  1 S 2.58
Tl  0.5310  0.2500  0.6668  1 S 2.58
Te  0.3853  0.7500  0.6536  3 Tl 3.07-3.35
Te  0.6147  0.2500  0.3464  3 Tl 3.07-3.35
S  0.1736  0.7500  0.1720  1 Tl 2.58
S  0.8264  0.2500  0.8280  1 Tl 2.58

Summary:
- space group = P2_1/m
- volume (Å³ per atom) = 44.255

Model b:
Material: Cs2TlTeS
Method: DFT, PBE
State: relaxed

Lattice parameters (Å, degrees): 6.7785 6.7785 5.3382 90.00 90.00 90.00
Closest atoms and distances in Å follow each position.
Fractional positions:
Cs  0.0000  0.5000  0.0000  2 S 3.39
Cs  0.5000  0.0000  0.0000  2 S 3.39
Tl  0.0000  0.0000  0.5000  2 S 2.67
Te  0.5000  0.5000  0.5000  8 Cs 4.31, 4 Tl 4.79
S  0.0000  0.0000  0.0000  2 Tl 2.67

Summary:
- space group = P4/mmm
- volume (Å³ per atom) = 49.056

The structure with the greatest stability is model a.

Model a:
Material: CsThS3
Method: DFT, PBE
State: relaxed

Lattice parameters (Å, degrees): 9.2041 9.2041 10.5849 124.41 124.41 26.91
Closest atoms and distances in Å follow each position.
Fractional positions:
Cs  0.0990  0.0990  0.4183  6 S 3.41-3.65
Cs  0.9010  0.9010  0.5817  6 S 3.41-3.65
Th  0.3232  0.3232  0.9253  7 S 2.78-3.05
Th  0.6768  0.6768  0.0747  7 S 2.78-3.05
S  0.1496  0.1496  0.8720  3 Th 2.82-2.87
S  0.2358  0.2358  0.2785  2 Th 2.78
S  0.4785  0.4785  0.8852  1 S 2.08
S  0.5215  0.5215  0.1148  1 S 2.08
S  0.7642  0.7642  0.7215  2 Th 2.78
S  0.8504  0.8504  0.1280  3 Th 2.82-2.87

Summary:
- space group = C2/m
- volume (Å³ per atom) = 33.032

Model b:
Material: CsThS3
Method: DFT, PBE
State: relaxed

Lattice parameters (Å, degrees): 5.3044 5.5538 12.5251 90.00 99.36 90.00
Closest atoms and distances in Å follow each position.
Fractional positions:
Cs  0.1584  0.2500  0.3583  5 S 3.51-3.70
Cs  0.8416  0.7500  0.6417  5 S 3.51-3.70
Th  0.4899  0.2500  0.8689  6 S 2.72-2.82
Th  0.5101  0.7500  0.1311  6 S 2.72-2.82
S  0.0311  0.7500  0.1872  2 Th 2.74, 1 S 2.89
S  0.3052  0.2500  0.6530  1 Th 2.72, 1 S 2.89
S  0.4872  0.2500  0.0941  3 Th 2.81-2.82
S  0.5128  0.7500  0.9059  3 Th 2.81-2.82
S  0.6948  0.7500  0.3470  1 Th 2.72, 1 S 2.89
S  0.9689  0.2500  0.8128  2 Th 2.74, 1 S 2.89

Summary:
- space group = P2_1/m
- volume (Å³ per atom) = 36.407

Model c:
Material: CsThS3
Method: DFT, PBE
State: relaxed

Lattice parameters (Å, degrees): 5.5264 5.5264 5.5264 90.00 90.00 90.00
Closest atoms and distances in Å follow each position.
Fractional positions:
Cs  0.0000  0.0000  0.0000  12 S 3.91
Th  0.5000  0.5000  0.5000  6 S 2.76
S  0.0000  0.5000  0.5000  2 Th 2.76
S  0.5000  0.0000  0.5000  2 Th 2.76
S  0.5000  0.5000  0.0000  2 Th 2.76

Summary:
- space group = Pm-3m
- volume (Å³ per atom) = 33.756

The structure with the greatest stability is model a.

Model a:
Material: Cs4TiS4
Method: DFT, PBE
State: relaxed

Lattice parameters (Å, degrees): 8.9639 8.9639 8.9639 125.45 125.45 80.79
Closest atoms and distances in Å follow each position.
Fractional positions:
Cs  0.0000  0.5000  0.5000  4 S 3.36
Cs  0.2017  0.2017  0.0000  2 S 3.31
Cs  0.5000  0.0000  0.5000  4 S 3.36
Cs  0.7983  0.7983  0.0000  2 S 3.31
Ti  0.5000  0.5000  0.0000  4 S 2.30
S  0.2414  0.5627  0.0000  1 Ti 2.30
S  0.4373  0.4373  0.6786  1 Ti 2.30
S  0.5627  0.2414  0.0000  1 Ti 2.30
S  0.7586  0.7586  0.3214  1 Ti 2.30

Summary:
- space group = I-42m
- volume (Å³ per atom) = 51.195

Model b:
Material: Cs4TiS4
Method: DFT, PBE
State: relaxed

Lattice parameters (Å, degrees): 9.6437 9.6437 7.4441 90.00 90.00 90.00
Closest atoms and distances in Å follow each position.
Fractional positions:
Cs  0.0298  0.2500  0.1051  5 S 3.56-3.63, 1 Ti 3.78
Cs  0.2500  0.0298  0.6051  5 S 3.56-3.63, 1 Ti 3.78
Cs  0.2500  0.4702  0.6051  5 S 3.56-3.63, 1 Ti 3.78
Cs  0.4702  0.2500  0.1051  5 S 3.56-3.63, 1 Ti 3.78
Cs  0.5298  0.7500  0.8949  5 S 3.56-3.63, 1 Ti 3.78
Cs  0.7500  0.5298  0.3949  5 S 3.56-3.63, 1 Ti 3.78
Cs  0.7500  0.9702  0.3949  5 S 3.56-3.63, 1 Ti 3.78
Cs  0.9702  0.7500  0.8949  5 S 3.56-3.63, 1 Ti 3.78
Ti  0.2500  0.7500  0.2500  4 S 2.29
Ti  0.7500  0.2500  0.7500  4 S 2.29
S  0.0542  0.7500  0.4243  1 Ti 2.29
S  0.2500  0.5542  0.0757  1 Ti 2.29
S  0.2500  0.9458  0.0757  1 Ti 2.29
S  0.4458  0.7500  0.4243  1 Ti 2.29
S  0.5542  0.2500  0.5757  1 Ti 2.29
S  0.7500  0.0542  0.9243  1 Ti 2.29
S  0.7500  0.4458  0.9243  1 Ti 2.29
S  0.9458  0.2500  0.5757  1 Ti 2.29

Summary:
- space group = P4_2/nmc
- volume (Å³ per atom) = 38.462

The structure with the greatest stability is model b.

Model a:
Material: CsTi4S8
Method: DFT, PBE
State: relaxed

Lattice parameters (Å, degrees): 7.5918 7.5918 7.5918 60.00 60.00 60.00
Closest atoms and distances in Å follow each position.
Fractional positions:
Cs  0.0000  0.0000  0.0000  4 S 2.84
Ti  0.1420  0.6193  0.6193  6 S 2.49-2.50
Ti  0.6193  0.1420  0.6193  6 S 2.49-2.50
Ti  0.6193  0.6193  0.1420  6 S 2.49-2.50
Ti  0.6193  0.6193  0.6193  6 S 2.49-2.50
S  0.3875  0.3875  0.3875  3 Ti 2.49
S  0.3875  0.3875  0.8376  3 Ti 2.49
S  0.3875  0.8376  0.3875  3 Ti 2.49
S  0.4583  0.8472  0.8472  3 Ti 2.50
S  0.8376  0.3875  0.3875  3 Ti 2.49
S  0.8472  0.4583  0.8472  3 Ti 2.50
S  0.8472  0.8472  0.4583  3 Ti 2.50
S  0.8472  0.8472  0.8472  3 Ti 2.50

Summary:
- space group = F-43m
- volume (Å³ per atom) = 23.800

Model b:
Material: CsTi4S8
Method: DFT, PBE
State: relaxed

Lattice parameters (Å, degrees): 9.6004 9.6004 9.6004 41.75 41.75 41.75
Closest atoms and distances in Å follow each position.
Fractional positions:
Cs  0.0000  0.0000  0.0000  6 S 3.55
Ti  0.0000  0.0000  0.5000  6 S 2.44
Ti  0.0000  0.5000  0.0000  6 S 2.44
Ti  0.5000  0.0000  0.0000  6 S 2.44
Ti  0.5000  0.5000  0.5000  6 S 2.43
S  0.2212  0.2212  0.2212  3 Ti 2.44
S  0.2226  0.7206  0.7206  3 Ti 2.43-2.44
S  0.2794  0.2794  0.7774  3 Ti 2.43-2.44
S  0.2794  0.7774  0.2794  3 Ti 2.43-2.44
S  0.7206  0.2226  0.7206  3 Ti 2.43-2.44
S  0.7206  0.7206  0.2226  3 Ti 2.43-2.44
S  0.7774  0.2794  0.2794  3 Ti 2.43-2.44
S  0.7788  0.7788  0.7788  3 Ti 2.44

Summary:
- space group = R-3m
- volume (Å³ per atom) = 27.281

The structure with the greatest stability is model b.